A geometry-optimized KBa3As structure, computed with PBE-GGA.

Properties
Formation energy from the elements   -0.469 eV per atom
SG   No. 221
ΔE to the lowest computed polymorph   0.00 kcal/mol of atoms
DOS at the Fermi energy   4.92 states/eV per cell

Unit cell a=6.5939 b=6.5939 c=6.5939 alpha=90.00 beta=90.00 gamma=90.00
Closest atoms and distances in Å follow each position.
Atoms (fractional coordinates):
K (0.5000, 0.5000, 0.5000)  12 Ba 4.66
As (0.0000, 0.0000, 0.0000)  6 Ba 3.30
Ba (0.0000, 0.5000, 0.0000)  2 As 3.30
Ba (0.0000, 0.0000, 0.5000)  2 As 3.30
Ba (0.5000, 0.0000, 0.0000)  2 As 3.30